(1)
Crystalline RbTi2BBr at its relaxed geometry. Source: the Alexandria database, functional GGA-PBE.

Structure (POSCAR):
```
RbTi2BBr
1.0
-3.583 -1.057 3.121
3.629 -4.227 2.736
1.659 3.404 3.058
B Br Rb Ti
1 1 1 2
direct
0.500 0.500 0.500 B
0.000 0.000 0.000 Br
0.000 0.500 0.000 Rb
0.000 0.000 0.500 Ti
0.500 0.000 0.000 Ti
```

Output
Space group: P4/mmm

***

(2)
Crystalline Rb2TiBBr at its relaxed geometry. Source: the Alexandria database, functional GGA-PBE.

Structure (POSCAR):
```
Rb2TiBBr
1.0
-5.510 2.990 -1.916
-2.247 -2.982 1.808
-0.074 3.439 5.581
B Br Rb Ti
1 1 2 1
direct
0.000 0.000 0.000 B
0.500 0.500 0.500 Br
0.000 0.000 0.500 Rb
0.500 0.000 0.000 Rb
0.000 0.500 0.000 Ti
```

Output
Space group: P4/mmm

***

(3)
Crystalline RbTlBBr2 at its relaxed geometry. Source: the Alexandria database, functional GGA-PBE.

Structure (POSCAR):
```
RbTlBBr2
1.0
-1.592 5.237 0.282
-3.437 -1.267 4.121
3.979 1.014 3.630
Tl B Br Rb
1 1 2 1
direct
0.500 0.500 0.500 Tl
0.000 0.000 0.000 B
0.000 0.000 0.500 Br
0.500 0.000 0.000 Br
0.000 0.500 0.000 Rb
```

Output
Space group: P4/mmm

***

(4)
Crystalline RbTlB2Br at its relaxed geometry. Source: the Alexandria database, functional GGA-PBE.

Structure (POSCAR):
```
RbTlB2Br
1.0
4.586 0.000 0.000
0.000 7.541 0.000
0.000 0.000 4.586
Tl B Br Rb
1 2 1 1
direct
0.000 0.000 0.000 Tl
0.000 0.000 0.500 B
0.500 0.000 0.000 B
0.000 0.500 0.000 Br
0.500 0.500 0.500 Rb
```

Output
Space group: P4/mmm

***

E_tot across the listed records, respectively: -17.76 -16.68 -11.83 -13.12 eV/cell.
E_form (uncorrected) across the listed records, respectively: 1470 301 305 1048 meV per atom.